# 1
# RbSeSCl2, optimized geometry, DFT PBE
data_RbSeSCl2
_space_group_name_H-M_alt 'P 4/m m m'
_space_group_IT_number 123
_space_group_name_Hall '-P 4 2'
_cell_length_a 5.342
_cell_length_b 5.342
_cell_length_c 4.868
_cell_angle_alpha 90.00
_cell_angle_beta 90.00
_cell_angle_gamma 90.00
loop_
_atom_site_label
_atom_site_type_symbol
_atom_site_fract_x
_atom_site_fract_y
_atom_site_fract_z
Rb1 Rb 0.000 0.000 0.000
Se1 Se 0.500 0.500 0.500
S1 S 0.500 0.500 0.000
Cl1 Cl 0.000 0.500 0.500
# Energy above the lowest structure with this stoichiometry (eV/atom): 0.0000

---

# 2
# RbSiSCl2, optimized geometry, DFT PBE
data_RbSiSCl2
_space_group_name_H-M_alt 'P 4/m m m'
_space_group_IT_number 123
_space_group_name_Hall '-P 4 2'
_cell_length_a 5.199
_cell_length_b 5.199
_cell_length_c 4.525
_cell_angle_alpha 90.00
_cell_angle_beta 90.00
_cell_angle_gamma 90.00
loop_
_atom_site_label
_atom_site_type_symbol
_atom_site_fract_x
_atom_site_fract_y
_atom_site_fract_z
Rb1 Rb 0.000 0.000 0.000
Si1 Si 0.500 0.500 0.500
S1 S 0.500 0.500 0.000
Cl1 Cl 0.000 0.500 0.500
# Energy above the lowest structure with this stoichiometry (eV/atom): 0.0000

---

# 3
# RbSiSCl2, optimized geometry, DFT PBE
data_RbSiSCl2
_space_group_name_H-M_alt 'P 4/m m m'
_space_group_IT_number 123
_space_group_name_Hall '-P 4 2'
_cell_length_a 5.736
_cell_length_b 5.736
_cell_length_c 5.428
_cell_angle_alpha 90.00
_cell_angle_beta 90.00
_cell_angle_gamma 90.00
loop_
_atom_site_label
_atom_site_type_symbol
_atom_site_fract_x
_atom_site_fract_y
_atom_site_fract_z
Rb1 Rb 0.000 0.000 0.000
Si1 Si 0.500 0.500 0.500
S1 S 0.000 0.000 0.500
Cl1 Cl 0.000 0.500 0.000
# Energy above the lowest structure with this stoichiometry (eV/atom): 1.5292

---

# 4
Compound: Rb5SiS4Cl2
Source: the Alexandria database
Functional: PBE
Structure: optimized geometry

The structure in CIF format:
```
data_Rb5SiS4Cl2
_space_group_name_H-M_alt 'A m m 2'
_space_group_IT_number 38
_cell_length_a 9.818
_cell_length_b 11.039
_cell_length_c 7.920
_cell_angle_alpha 90.00
_cell_angle_beta 90.00
_cell_angle_gamma 90.00
loop_
_space_group_symop_operation_xyz
'x,y,z'
'-x,-y,z'
'-x,y,z'
'x,-y,z'
'x,y+1/2,z+1/2'
'-x,-y+1/2,z+1/2'
'-x,y+1/2,z+1/2'
'x,-y+1/2,z+1/2'
loop_
_atom_site_label
_atom_site_type_symbol
_atom_site_fract_x
_atom_site_fract_y
_atom_site_fract_z
Rb1 Rb 0.000 0.000 0.000
Rb2 Rb 0.263 0.200 0.472
Si1 Si 0.500 0.000 0.987
S1 S 0.321 0.000 0.133
S2 S 0.500 0.131 0.783
Cl1 Cl 0.000 0.226 0.727
```

---

no.,calculated density (g/cm3),raw formation energy (eV per formula unit)
1,3.196,-2.9
2,2.939,-4.4
3,2.013,3.2
4,2.533,-15.3